Record 1
K4In5Pt3 | PBE | relaxed

abc: 5.2172 8.6817 8.0700
angles: 110.29 89.98 107.35
Element x y z (fractional)
K (0.8992, 0.7964, 0.0523)
K (0.8168, 0.6324, 0.5613)
K (0.1832, 0.3676, 0.4387)
K (0.1008, 0.2036, 0.9477)
In (0.4445, 0.8880, 0.7908)
In (0.0000, 0.0000, 0.5000)
In (0.3204, 0.6370, 0.2069)
In (0.6796, 0.3630, 0.7931)
In (0.5555, 0.1120, 0.2092)
Pt (0.7107, 0.4257, 0.1556)
Pt (0.5000, 0.0000, 0.5000)
Pt (0.2893, 0.5743, 0.8444)

Output
**Energy of formation from the pure elements**: -0.15 eV per atom
**Calculated total energy**: -3.171 eV/atom
**D(E_F)**: 4.62 states/eV/f.u.

***

Record 2
RbPIr2 | PBE | relaxed

abc: 4.5616 6.7764 6.8500
angles: 78.53 72.44 74.50
Element x y z (fractional)
Rb (0.3770, 0.7584, 0.0681)
Rb (0.6230, 0.2416, 0.9319)
P (0.1054, 0.6542, 0.6461)
P (0.8946, 0.3458, 0.3539)
Ir (0.3002, 0.3606, 0.4878)
Ir (0.6998, 0.6394, 0.5122)
Ir (0.2321, 0.9713, 0.5684)
Ir (0.7679, 0.0287, 0.4316)

Output
**Energy of formation from the pure elements**: -0.16 eV per atom
**Calculated total energy**: -6.186 eV/atom
**D(E_F)**: 1.81 states/eV/f.u.